Entry from Alexandria via LeMat-Bulk: a geometry-optimized CaTcGe2O8 structure (PBE).

a = 6.841 Å, b = 6.841 Å, c = 6.188 Å
α = 90.00°, β = 90.00°, γ = 90.00°
Space group I-4m2 (No. 119)
Asymmetric unit:
1 Ca 0.000 0.000 0.000 (multiplicity 2)
2 Tc 0.000 0.500 0.250 (multiplicity 2)
3 Ge 0.000 0.000 0.500 (multiplicity 2)
4 Ge 0.000 0.500 0.750 (multiplicity 2)
5 O 0.000 0.202 0.318 (multiplicity 8)
6 O 0.000 0.329 0.965 (multiplicity 8)

Properties
Crystal system: tetragonal
E_form (uncorrected): -1.49 eV per atom